The following is a DFT calculation (GGA-PBE) of a relaxed GaCuP crystal.

Energy relative to the lowest polymorph listed for this composition ... 37 meV per atom

Cell and atoms, written as CIF:
```
data_GaCuP
_chemical_formula_sum 'Ga2 Cu2 P2'
_symmetry_space_group_name_H-M 'P 1'
_symmetry_Int_Tables_number 1
_cell_length_a 4.0785
_cell_length_b 4.0785
_cell_length_c 5.7811
_cell_angle_alpha 90.00
_cell_angle_beta 90.00
_cell_angle_gamma 90.00
loop_
_symmetry_equiv_pos_as_xyz
'x,y,z'
loop_
_atom_site_label
_atom_site_type_symbol
_atom_site_fract_x
_atom_site_fract_y
_atom_site_fract_z
_atom_site_occupancy
Ga1 Ga 0.0000 0.0000 0.2500 1
Ga2 Ga 0.0000 0.0000 0.7500 1
Cu1 Cu 0.0000 0.5000 0.0000 1
Cu2 Cu 0.5000 0.0000 0.5000 1
P1 P 0.5000 0.5000 0.2500 1
P2 P 0.5000 0.5000 0.7500 1
```